NbC: relaxed, PBE.

Output
- Total energy: -0.74400 Ry/atom
- Calculated volume: 11.40 A^3/atom

CIF file:
```
data_NbC
_symmetry_space_group_name_H-M 'F m -3 m'
_symmetry_Int_Tables_number 225
_symmetry_space_group_name_Hall '-F 4 2 3'
_cell_length_a 4.501
_cell_length_b 4.501
_cell_length_c 4.501
_cell_angle_alpha 90.00
_cell_angle_beta 90.00
_cell_angle_gamma 90.00
loop_
_atom_site_label
_atom_site_fract_x
_atom_site_fract_y
_atom_site_fract_z
Nb1 0.000 0.000 0.000
C1 0.000 0.000 0.500
```